No. 1
Below is a relaxed structure of GePdPb, with properties calculated at the PBE level.

Structure (POSCAR):
```
GePdPb
1.0
4.312 0.000 0.000
-2.156 3.735 0.000
0.000 0.000 4.212
Ge Pd Pb
1 1 1
Direct
0.000 0.000 0.000
0.667 0.333 0.000
0.333 0.667 0.500
```

Output
The energy of formation from the pure elements comes out at -0.110 eV per atom. The value obtained for the total energy is -13.85 eV per cell.

No. 2
Below is a relaxed structure of Pm2GePd6Pb, with properties calculated at the PBE level.

Structure (POSCAR):
```
Pm2GePd6Pb
1.0
5.539 0.000 0.000
2.754 5.902 0.000
2.765 -0.837 6.140
Pm Ge Pd Pb
2 1 6 1
Direct
0.247 0.252 0.255
0.753 0.748 0.745
0.500 0.500 0.500
0.194 0.325 0.794
0.256 0.926 0.561
0.313 0.676 0.205
0.687 0.324 0.795
0.744 0.074 0.439
0.806 0.675 0.206
0.000 0.000 0.000
```

Output
The energy of formation from the pure elements comes out at -0.582 eV per atom. The value obtained for the total energy is -54.80 eV per cell.

No. 3
Below is a relaxed structure of Pr2Ge3Pd4Pb, with properties calculated at the PBE level.

Structure (POSCAR):
```
Pr2Ge3Pd4Pb
1.0
4.397 0.000 0.000
0.000 4.397 0.000
0.000 0.000 10.722
Pr Ge Pd Pb
2 3 4 1
Direct
0.000 0.500 0.234
0.500 0.000 0.766
0.000 0.500 0.879
0.500 0.000 0.121
0.500 0.500 0.500
0.000 0.000 0.000
0.000 0.500 0.652
0.500 0.000 0.348
0.500 0.500 0.000
0.000 0.000 0.500
```

Output
The energy of formation from the pure elements comes out at -0.724 eV per atom. The value obtained for the total energy is -55.13 eV per cell.

No. 4
Below is a relaxed structure of ReGe2PdPb, with properties calculated at the PBE level.

Structure (POSCAR):
```
ReGe2PdPb
1.0
4.779 0.000 0.000
0.000 4.779 0.000
0.000 0.000 5.363
Re Ge Pd Pb
1 2 1 1
Direct
0.000 0.000 0.000
0.000 0.500 0.000
0.500 0.000 0.000
0.500 0.500 0.500
0.000 0.000 0.500
```

Output
The energy of formation from the pure elements comes out at 0.554 eV per atom. The value obtained for the total energy is -27.81 eV per cell.

No. 5
Below is a relaxed structure of ReGePdPb2, with properties calculated at the PBE level.

Structure (POSCAR):
```
ReGePdPb2
1.0
5.321 0.000 0.000
0.000 5.321 0.000
0.000 0.000 4.776
Re Ge Pd Pb
1 1 1 2
Direct
0.000 0.000 0.000
0.000 0.000 0.500
0.500 0.500 0.500
0.000 0.500 0.000
0.500 0.000 0.000
```

Output
The energy of formation from the pure elements comes out at 0.646 eV per atom. The value obtained for the total energy is -26.44 eV per cell.

No. 6
Below is a relaxed structure of GePdPb2S, with properties calculated at the PBE level.

Structure (POSCAR):
```
GePdPb2S
1.0
5.529 0.000 0.000
0.000 5.529 0.000
0.000 0.000 4.626
Ge Pd Pb S
1 1 2 1
Direct
0.000 0.000 0.000
0.000 0.000 0.500
0.000 0.500 0.000
0.500 0.000 0.000
0.500 0.500 0.500
```

Output
The value obtained for the total energy is -19.57 eV per cell. For the energy relative to the elements, uncorrected, the calculation gives 34.3 kJ/mol of atoms.

No. 7
Below is a relaxed structure of SmGe2Pd7Pb2, with properties calculated at the PBE level.

Structure (POSCAR):
```
SmGe2Pd7Pb2
1.0
2.921 -2.887 0.000
2.921 2.887 0.000
-2.015 0.000 14.118
Sm Ge Pd Pb
1 2 7 2
Direct
0.000 0.000 0.000
0.412 0.412 0.747
0.588 0.588 0.253
0.054 0.553 0.154
0.368 0.368 0.572
0.447 0.946 0.846
0.500 0.500 0.000
0.553 0.054 0.154
0.632 0.632 0.428
0.946 0.447 0.846
0.110 0.110 0.380
0.890 0.890 0.620
```

Output
The energy of formation from the pure elements comes out at -0.440 eV per atom. The value obtained for the total energy is -63.00 eV per cell.

No. 8
Below is a relaxed structure of SnGe2PdPb, with properties calculated at the PBE level.

Structure (POSCAR):
```
SnGe2PdPb
1.0
5.419 0.000 0.000
0.000 5.419 0.000
0.000 0.000 5.078
Sn Ge Pd Pb
1 2 1 1
Direct
0.000 0.000 0.000
0.000 0.500 0.500
0.500 0.000 0.500
0.500 0.500 0.000
0.500 0.500 0.500
```

Output
The energy of formation from the pure elements comes out at 0.839 eV per atom. The value obtained for the total energy is -17.95 eV per cell.

No. 9
Below is a relaxed structure of ThGe2Pd7Pb2, with properties calculated at the PBE level.

Structure (POSCAR):
```
ThGe2Pd7Pb2
1.0
2.911 -2.899 0.000
2.911 2.899 0.000
-1.681 0.000 14.466
Th Ge Pd Pb
1 2 7 2
Direct
0.000 0.000 0.000
0.421 0.421 0.746
0.579 0.579 0.254
0.048 0.546 0.151
0.381 0.381 0.576
0.454 0.952 0.849
0.500 0.500 0.000
0.546 0.048 0.151
0.619 0.619 0.424
0.952 0.454 0.849
0.114 0.114 0.389
0.886 0.886 0.611
```

Output
The energy of formation from the pure elements comes out at -0.458 eV per atom. The value obtained for the total energy is -65.91 eV per cell.

No. 10
Below is a relaxed structure of TmGe2Pd7Pb2, with properties calculated at the PBE level.

Structure (POSCAR):
```
TmGe2Pd7Pb2
1.0
2.897 -2.866 0.000
2.897 2.866 0.000
-2.024 0.000 14.005
Tm Ge Pd Pb
1 2 7 2
Direct
0.000 0.000 0.000
0.413 0.413 0.749
0.587 0.587 0.251
0.052 0.552 0.149
0.364 0.364 0.572
0.448 0.948 0.851
0.500 0.500 0.000
0.552 0.052 0.149
0.636 0.636 0.428
0.948 0.448 0.851
0.112 0.112 0.377
0.888 0.888 0.623
```

Output
The energy of formation from the pure elements comes out at -0.480 eV per atom. The value obtained for the total energy is -63.23 eV per cell.

No. 11
Below is a relaxed structure of GePdPb2W, with properties calculated at the PBE level.

Structure (POSCAR):
```
GePdPb2W
1.0
5.387 0.000 0.000
0.000 5.387 0.000
0.000 0.000 4.685
Ge Pd Pb W
1 1 2 1
Direct
0.000 0.000 0.000
0.000 0.000 0.500
0.000 0.500 0.500
0.500 0.000 0.500
0.500 0.500 0.000
```

Output
The energy of formation from the pure elements comes out at 1.190 eV per atom. The value obtained for the total energy is -24.23 eV per cell.

No. 12
Below is a relaxed structure of ZrGePdPb2, with properties calculated at the PBE level.

Structure (POSCAR):
```
ZrGePdPb2
1.0
5.339 0.000 0.000
0.000 5.339 0.000
0.000 0.000 5.114
Zr Ge Pd Pb
1 1 1 2
Direct
0.000 0.000 0.000
0.000 0.000 0.500
0.500 0.500 0.000
0.000 0.500 0.500
0.500 0.000 0.500
```

Output
The energy of formation from the pure elements comes out at 0.685 eV per atom. The value obtained for the total energy is -22.35 eV per cell.

Number 1 is which compound? GePdPb